(1)
Ba2NaSrAs: relaxed, PBE-GGA.

Lattice parameters (Å, degrees): 6.5074 6.5074 6.1325 90.00 90.00 90.00
Atoms (fractional coordinates):
Ba (0.5000, 0.0000, 0.0000)
Ba (0.0000, 0.5000, 0.0000)
As (0.0000, 0.0000, 0.0000)
Sr (0.0000, 0.0000, 0.5000)
Na (0.5000, 0.5000, 0.5000)

Computed properties:
Space group = No. 123
Magnetic moment = 0.20 Bohr magnetons per cell
Energy of formation = -0.49 eV/atom

---

(2)
RbHo6S8: relaxed, PBE-GGA.

Lattice parameters (Å, degrees): 7.7336 7.7336 7.7336 93.13 93.13 93.13
Atoms (fractional coordinates):
S (0.5909, 0.8564, 0.3081)
S (0.3081, 0.5909, 0.8564)
S (0.7460, 0.7460, 0.7460)
S (0.2540, 0.2540, 0.2540)
S (0.1436, 0.6919, 0.4091)
S (0.8564, 0.3081, 0.5909)
S (0.6919, 0.4091, 0.1436)
S (0.4091, 0.1436, 0.6919)
Ho (0.4317, 0.8047, 0.6178)
Ho (0.5683, 0.1953, 0.3822)
Ho (0.6178, 0.4317, 0.8047)
Ho (0.1953, 0.3822, 0.5683)
Ho (0.3822, 0.5683, 0.1953)
Ho (0.8047, 0.6178, 0.4317)
Rb (0.0000, 0.0000, 0.0000)

Computed properties:
Space group = No. 148
Magnetic moment = 0.02 Bohr magnetons per cell
Energy relative to the elements, uncorrected = -1821 meV/atom

---

Question: Look up the magnetic moment of the first one.
Answer: 0.20 Bohr magnetons per cell

---

Question: Among the records above, which one has the lowest magnetic moment?
Answer: RbHo6S8

---

Question: Look up the magnetic moment of the first one.
Answer: 0.20 Bohr magnetons per cell

---

Question: Which value of magnetic moment does entry 2 give?
Answer: 0.02 Bohr magnetons per cell